1.
This record from Alexandria describes an optimized crystal structure of Zr12MnZn6. The functional is PBE-GGA.

Computed properties:
Calculated density, g/cm³: 6.793
DOS at the Fermi energy, states/eV per atom: 1.106
Magnetization, μB/f.u.: 2.68
Space-group type: R-3 (148)
Raw total energy, Ry per atom: -0.4658

a b c (Å): 7.225 7.225 7.225
angles (deg): 88.79 88.79 88.79
Last column: magnetic moment on the atom in μB.
Positions (direct):
Zr  0.807  0.522  0.435  0.02
Zr  0.435  0.807  0.522  0.02
Zr  0.522  0.435  0.807  0.02
Zr  0.193  0.478  0.565  0.02
Zr  0.565  0.193  0.478  0.02
Zr  0.478  0.565  0.193  0.02
Zr  0.041  0.148  0.374  -0.06
Zr  0.852  0.626  0.959  -0.06
Zr  0.626  0.959  0.852  -0.06
Zr  0.959  0.852  0.626  -0.06
Zr  0.148  0.374  0.041  -0.06
Zr  0.374  0.041  0.148  -0.06
Mn  0.000  0.000  0.000  2.94
Zn  0.744  0.889  0.256  -0.01
Zn  0.744  0.256  0.111  -0.01
Zn  0.111  0.744  0.256  -0.01
Zn  0.256  0.111  0.744  -0.01
Zn  0.256  0.744  0.889  -0.01
Zn  0.889  0.256  0.744  -0.01



2.
This record from Alexandria describes an optimized crystal structure of ZrMnZn. The functional is PBE-GGA.

Computed properties:
Calculated density, g/cm³: 6.756
DOS at the Fermi energy, states/eV per atom: 0.820
Magnetization, μB/f.u.: 2.82
Space-group type: P-6m2 (187)
Raw total energy, Ry per atom: -0.4654

a b c (Å): 4.395 4.395 3.109
angles (deg): 90.00 90.00 120.00
Last column: magnetic moment on the atom in μB.
Positions (direct):
Mn  0.000  0.000  0.167  3.18
Zn  0.333  0.667  0.166  -0.03
Zr  0.667  0.333  0.667  -0.31



3.
This record from Alexandria describes an optimized crystal structure of Zr2MnZn. The functional is PBE-GGA.

Computed properties:
Calculated density, g/cm³: 6.721
DOS at the Fermi energy, states/eV per atom: 0.524
Magnetization, μB/f.u.: 0.37
Space-group type: R-3m (166)
Raw total energy, Ry per atom: -0.4999

a b c (Å): 8.426 8.426 8.426
angles (deg): 22.19 22.19 22.19
Last column: magnetic moment on the atom in μB.
Positions (direct):
Mn  0.250  0.250  0.250  0.62
Zn  0.750  0.750  0.750  0.00
Zr  0.992  0.992  0.992  -0.09
Zr  0.508  0.508  0.508  -0.09



4.
This record from Alexandria describes an optimized crystal structure of ZrMn2Zn. The functional is PBE-GGA.

Computed properties:
Calculated density, g/cm³: 7.351
DOS at the Fermi energy, states/eV per atom: 0.891
Magnetization, μB/f.u.: 1.69
Space-group type: Imm2 (44)
Raw total energy, Ry per atom: -0.5123

a b c (Å): 5.250 5.250 5.250
angles (deg): 145.82 131.61 60.57
Last column: magnetic moment on the atom in μB.
Positions (direct):
Mn  0.974  0.974  0.000  2.68
Mn  0.762  0.262  0.500  -1.04
Zn  0.520  0.520  0.000  -0.01
Zr  0.244  0.744  0.500  0.02



5.
This record from Alexandria describes an optimized crystal structure of Zr2Mn2Zn15. The functional is PBE-GGA.

Computed properties:
Calculated density, g/cm³: 7.296
DOS at the Fermi energy, states/eV per atom: 0.524
Magnetization, μB/f.u.: 6.73
Space-group type: R-3m (166)
Raw total energy, Ry per atom: -0.2164

a b c (Å): 6.667 6.667 6.667
angles (deg): 82.78 82.78 82.78
Last column: magnetic moment on the atom in μB.
Positions (direct):
Zr  0.331  0.331  0.331  -0.01
Zr  0.669  0.669  0.669  -0.01
Mn  0.102  0.102  0.102  3.22
Mn  0.898  0.898  0.898  3.22
Zn  0.500  0.000  0.000  -0.02
Zn  0.000  0.000  0.500  -0.02
Zn  0.000  0.500  0.000  -0.02
Zn  0.000  0.709  0.291  0.00
Zn  0.709  0.291  0.000  0.00
Zn  0.291  0.000  0.709  0.00
Zn  0.291  0.709  0.000  0.00
Zn  0.709  0.000  0.291  0.00
Zn  0.000  0.291  0.709  0.00
Zn  0.154  0.641  0.641  0.00
Zn  0.641  0.641  0.154  0.00
Zn  0.641  0.154  0.641  0.00
Zn  0.846  0.359  0.359  0.00
Zn  0.359  0.359  0.846  0.00
Zn  0.359  0.846  0.359  0.00



6.
This record from Alexandria describes an optimized crystal structure of ZrMnZn2. The functional is PBE-GGA.

Computed properties:
Calculated density, g/cm³: 6.995
DOS at the Fermi energy, states/eV per atom: 0.766
Magnetization, μB/f.u.: 2.39
Space-group type: P4/mmm (123)
Raw total energy, Ry per atom: -0.3767

a b c (Å): 4.172 3.970 3.970
angles (deg): 90.00 90.00 90.00
Last column: magnetic moment on the atom in μB.
Positions (direct):
Mn  0.500  0.000  0.500  3.04
Zn  0.000  0.000  0.000  -0.04
Zn  0.000  0.500  0.500  -0.04
Zr  0.500  0.500  0.000  -0.45



7.
This record from Alexandria describes an optimized crystal structure of ZrMnZn2. The functional is PBE-GGA.

Computed properties:
Calculated density, g/cm³: 6.887
DOS at the Fermi energy, states/eV per atom: 0.881
Magnetization, μB/f.u.: 3.08
Space-group type: Pm (6)
Raw total energy, Ry per atom: -0.3736

a b c (Å): 4.098 2.938 5.739
angles (deg): 75.09 90.00 90.00
Last column: magnetic moment on the atom in μB.
Positions (direct):
Mn  0.500  0.795  0.785  3.34
Zn  0.000  0.194  0.987  -0.04
Zn  0.500  0.067  0.240  -0.02
Zr  0.000  0.444  0.488  -0.22



8.
This record from Alexandria describes an optimized crystal structure of ZrMnZn2. The functional is PBE-GGA.

Computed properties:
Calculated density, g/cm³: 7.022
DOS at the Fermi energy, states/eV per atom: 1.594
Magnetization, μB/f.u.: 3.26
Space-group type: F-43m (216)
Raw total energy, Ry per atom: -0.3683

a b c (Å): 4.525 4.525 4.525
angles (deg): 60.00 60.00 60.00
Last column: magnetic moment on the atom in μB.
Positions (direct):
Mn  0.500  0.500  0.500  3.17
Zn  0.000  0.000  0.000  -0.01
Zn  0.250  0.250  0.250  0.01
Zr  0.750  0.750  0.750  -0.14



The lowest magnetization belongs to which entry?
Zr2MnZn